Entry 1:
A plane-wave DFT calculation with GGA-PBE was carried out for Be17CrRe after structural relaxation.

DOS(E_F): 6.34 states/eV/cell
space group: No. 160
total DFT energy (no corrections): -4.600 eV/atom
calculated formation energy: -104 meV per atom

POSCAR file:
```
Be17CrRe
1.0
5.4146 0.0133 0.6537
0.5811 5.3833 0.6537
0.0148 0.0133 5.4539
Be Re Cr
17 1 1
direct
0.1016 0.1016 0.1016
0.9987 0.4998 0.9987
0.8388 0.3501 0.3501
0.6505 0.1617 0.6505
0.9987 0.9987 0.4998
0.6968 0.3028 0.0006
0.0006 0.3028 0.6968
0.3028 0.0006 0.6968
0.1617 0.6505 0.6505
0.6968 0.0006 0.3028
0.4998 0.9987 0.9987
0.6505 0.6505 0.1617
0.3028 0.6968 0.0006
0.3501 0.8388 0.3501
0.0006 0.6968 0.3028
0.8978 0.8978 0.8978
0.3501 0.3501 0.8388
0.6599 0.6599 0.6599
0.3413 0.3413 0.3413
```



Entry 2:
A plane-wave DFT calculation with GGA-PBE was carried out for Ce2HoRu2 after structural relaxation.

DOS(E_F): 26.32 states/eV/cell
space group: No. 14
total DFT energy (no corrections): -7.308 eV/atom
calculated formation energy: -309 meV per atom

POSCAR file:
```
Ce2HoRu2
1.0
-4.5170 3.9664 -3.7955
-4.8108 -4.4970 1.0258
-4.6815 6.6256 7.0913
Ce Ru Ho
8 8 4
direct
0.5170 0.2412 0.9426
0.0170 0.2588 0.9426
0.4830 0.7588 0.0574
0.0844 0.6779 0.3793
0.4156 0.1779 0.6207
0.5844 0.8221 0.3793
0.9830 0.7412 0.0574
0.9156 0.3221 0.6207
0.2282 0.4911 0.1173
0.7282 0.0089 0.1173
0.2767 0.5527 0.5193
0.7233 0.4473 0.4807
0.7767 0.9473 0.5193
0.2233 0.0527 0.4807
0.7718 0.5089 0.8827
0.2718 0.9911 0.8827
0.0209 0.8158 0.7139
0.4791 0.3158 0.2861
0.9791 0.1842 0.2861
0.5209 0.6842 0.7139
```



Entry 3:
A plane-wave DFT calculation with GGA-PBE was carried out for NbInSCl2 after structural relaxation.

DOS(E_F): 6.86 states/eV/cell
space group: No. 123
total DFT energy (no corrections): -3.788 eV/atom

POSCAR file:
```
NbInSCl2
1.0
4.9968 0.0000 0.0000
0.0000 4.9968 0.0000
0.0000 0.0000 5.1758
In S Nb Cl
1 1 1 2
direct
0.0000 0.0000 0.0000
0.0000 0.0000 0.5000
0.5000 0.5000 0.5000
0.5000 0.0000 0.0000
0.0000 0.5000 0.0000
```



Entry 4:
A plane-wave DFT calculation with GGA-PBE was carried out for NiAsW2 after structural relaxation.

DOS(E_F): 4.17 states/eV/cell
space group: No. 47
total DFT energy (no corrections): -8.732 eV/atom
calculated formation energy: 353 meV per atom

POSCAR file:
```
NiAsW2
1.0
-1.7724 2.7133 -0.3867
-3.5938 -2.2954 0.3657
0.0317 0.6181 4.1915
W As Ni
2 1 1
direct
0.5000 0.5000 0.0000
0.0000 0.0000 0.0000
0.5000 0.0000 0.5000
0.0000 0.5000 0.5000
```